[1]
Computed, not measured: crystalline YErSc4 at its relaxed geometry at the GGA-PBE level of DFT.

a = 5.2915 Å, b = 6.6047 Å, c = 9.1619 Å
α = 90.00°, β = 90.00°, γ = 90.00°
Space group Immm (No. 71)
Asymmetric unit:
Y (0.0000, 0.0000, 0.0000) (multiplicity 2)
Er (0.0000, 0.5000, 0.0000) (multiplicity 2)
Sc (0.0000, 0.2497, 0.3333) (multiplicity 8)

**D(E_F)**: 26.03 states/eV/cell
**Energy relative to the lowest polymorph listed for this composition**: 0 meV per atom
**Energy of formation from the pure elements**: 66 meV/atom
**Total magnetic moment**: 0.0 Bohr magnetons per cell

=====

[2]
Computed, not measured: crystalline Y5Er4Sc at its relaxed geometry at the GGA-PBE level of DFT.

a = 6.2158 Å, b = 6.6351 Å, c = 9.0915 Å
α = 72.40°, β = 89.98°, γ = 62.07°
Space group P1 (No. 1)
Asymmetric unit:
Y (0.0000, 0.0000, 0.0000) (multiplicity 1)
Y (0.0663, 0.2107, 0.2940) (multiplicity 1)
Y (0.3976, 0.2100, 0.8016) (multiplicity 1)
Y (0.6687, 0.0066, 0.4963) (multiplicity 1)
Y (0.8019, 0.4066, 0.5978) (multiplicity 1)
Er (0.2056, 0.6047, 0.3946) (multiplicity 1)
Er (0.2679, 0.8046, 0.6991) (multiplicity 1)
Er (0.5974, 0.8092, 0.1959) (multiplicity 1)
Er (0.8631, 0.6049, 0.9005) (multiplicity 1)
Sc (0.4679, 0.4070, 0.0979) (multiplicity 1)

**D(E_F)**: 18.33 states/eV/cell
**Energy relative to the lowest polymorph listed for this composition**: 0 meV per atom
**Energy of formation from the pure elements**: 10 meV/atom
**Total magnetic moment**: 0.0 Bohr magnetons per cell

=====

[3]
Computed, not measured: crystalline Y12Er5Sc2 at its relaxed geometry at the GGA-PBE level of DFT.

a = 15.3579 Å, b = 9.1875 Å, c = 8.5260 Å
α = 90.00°, β = 91.90°, γ = 90.00°
Space group C2/m (No. 12)
Asymmetric unit:
Y (0.0570, 0.0000, 0.3341) (multiplicity 4)
Y (0.0758, 0.5000, 0.8755) (multiplicity 4)
Y (0.1290, 0.1938, 0.6762) (multiplicity 8)
Y (0.1480, 0.3183, 0.2336) (multiplicity 8)
Er (0.0000, 0.5000, 0.5000) (multiplicity 2)
Er (0.2023, 0.0000, 0.0225) (multiplicity 4)
Er (0.2309, 0.5000, 0.5693) (multiplicity 4)
Sc (0.0000, 0.1668, 0.0000) (multiplicity 4)

**D(E_F)**: 63.62 states/eV/cell
**Energy relative to the lowest polymorph listed for this composition**: 2 meV per atom
**Energy of formation from the pure elements**: 123 meV/atom
**Total magnetic moment**: 0.0 Bohr magnetons per cell

=====

[4]
Computed, not measured: crystalline Y6ErSc2 at its relaxed geometry at the GGA-PBE level of DFT.

a = 5.9374 Å, b = 9.4217 Å, c = 11.2429 Å
α = 90.00°, β = 118.06°, γ = 90.00°
Space group P2_1/c (No. 14)
Asymmetric unit:
Y (0.0021, 0.1568, 0.4341) (multiplicity 4)
Y (0.3997, 0.6789, 0.4129) (multiplicity 4)
Y (0.4147, 0.0230, 0.3291) (multiplicity 4)
Er (0.0000, 0.0000, 0.0000) (multiplicity 2)
Sc (0.1906, 0.1451, 0.7578) (multiplicity 4)

**D(E_F)**: 33.68 states/eV/cell
**Energy relative to the lowest polymorph listed for this composition**: 54 meV per atom
**Energy of formation from the pure elements**: 134 meV/atom
**Total magnetic moment**: 0.0 Bohr magnetons per cell

=====

[5]
Computed, not measured: crystalline Y2Er4Sc3 at its relaxed geometry at the GGA-PBE level of DFT.

a = 16.4464 Å, b = 11.2254 Å, c = 5.6681 Å
α = 90.00°, β = 97.18°, γ = 90.00°
Space group C2/c (No. 15)
Asymmetric unit:
Y (0.2314, 0.1078, 0.3736) (multiplicity 8)
Er (0.0631, 0.3922, 0.5406) (multiplicity 8)
Er (0.1019, 0.1077, 0.7909) (multiplicity 8)
Sc (0.0000, 0.1520, 0.2500) (multiplicity 4)
Sc (0.1637, 0.3479, 0.0823) (multiplicity 8)

**D(E_F)**: 53.32 states/eV/cell
**Energy relative to the lowest polymorph listed for this composition**: 48 meV per atom
**Energy of formation from the pure elements**: 112 meV/atom
**Total magnetic moment**: 0.0 Bohr magnetons per cell

=====

[6]
Computed, not measured: crystalline Y3Er2Sc8 at its relaxed geometry at the GGA-PBE level of DFT.

a = 19.6980 Å, b = 7.1848 Å, c = 5.2429 Å
α = 90.00°, β = 90.05°, γ = 90.00°
Space group C2/m (No. 12)
Asymmetric unit:
Y (0.0000, 0.0000, 0.0000) (multiplicity 2)
Y (0.0000, 0.2864, 0.5000) (multiplicity 4)
Er (0.2401, 0.0000, 0.9983) (multiplicity 4)
Sc (0.1111, 0.2919, 0.0005) (multiplicity 8)
Sc (0.1326, 0.0000, 0.4994) (multiplicity 4)
Sc (0.1661, 0.5000, 0.5014) (multiplicity 4)

**D(E_F)**: 55.21 states/eV/cell
**Energy of formation from the pure elements**: 296 meV/atom
**Total magnetic moment**: 0.0 Bohr magnetons per cell

=====

[7]
Computed, not measured: crystalline Y2Er5Sc12 at its relaxed geometry at the GGA-PBE level of DFT.

a = 14.9968 Å, b = 8.5688 Å, c = 8.1059 Å
α = 90.00°, β = 91.96°, γ = 90.00°
Space group C2/m (No. 12)
Asymmetric unit:
Y (0.0000, 0.1879, 0.0000) (multiplicity 4)
Er (0.0000, 0.5000, 0.5000) (multiplicity 2)
Er (0.2032, 0.0000, 0.0040) (multiplicity 4)
Er (0.2364, 0.5000, 0.5783) (multiplicity 4)
Sc (0.0526, 0.0000, 0.3363) (multiplicity 4)
Sc (0.0912, 0.5000, 0.8818) (multiplicity 4)
Sc (0.1273, 0.1900, 0.6563) (multiplicity 8)
Sc (0.1544, 0.3208, 0.2502) (multiplicity 8)

**D(E_F)**: 62.77 states/eV/cell
**Energy of formation from the pure elements**: 140 meV/atom
**Total magnetic moment**: 0.0 Bohr magnetons per cell

=====

[8]
Computed, not measured: crystalline YEr8Sc3 at its relaxed geometry at the GGA-PBE level of DFT.

a = 8.3573 Å, b = 8.3573 Å, c = 11.5675 Å
α = 90.00°, β = 90.00°, γ = 90.00°
Space group I-42m (No. 121)
Asymmetric unit:
Y (0.0000, 0.0000, 0.0000) (multiplicity 2)
Er (0.1362, 0.1362, 0.2728) (multiplicity 8)
Er (0.2321, 0.2321, 0.5415) (multiplicity 8)
Sc (0.0000, 0.0000, 0.5000) (multiplicity 2)
Sc (0.0000, 0.5000, 0.2500) (multiplicity 4)

**D(E_F)**: 41.25 states/eV/cell
**Energy of formation from the pure elements**: 693 meV/atom
**Total magnetic moment**: 4.4 Bohr magnetons per cell

=====

[9]
Computed, not measured: crystalline Y4Er6Sc at its relaxed geometry at the GGA-PBE level of DFT.

a = 5.5579 Å, b = 9.5933 Å, c = 25.4412 Å
α = 90.00°, β = 90.00°, γ = 90.00°
Space group Cmcm (No. 63)
Asymmetric unit:
Y (0.0000, 0.0036, 0.1219) (multiplicity 8)
Y (0.0000, 0.3344, 0.0430) (multiplicity 8)
Er (0.0000, 0.0000, 0.0000) (multiplicity 4)
Er (0.0000, 0.0021, 0.2500) (multiplicity 4)
Er (0.0000, 0.3304, 0.6074) (multiplicity 8)
Er (0.0000, 0.3360, 0.1833) (multiplicity 8)
Sc (0.0000, 0.3314, 0.7500) (multiplicity 4)

**D(E_F)**: 78.28 states/eV/cell
**Energy relative to the lowest polymorph listed for this composition**: 0 meV per atom
**Energy of formation from the pure elements**: 142 meV/atom
**Total magnetic moment**: 0.0 Bohr magnetons per cell

=====

[10]
Computed, not measured: crystalline Y3Er7Sc at its relaxed geometry at the GGA-PBE level of DFT.

a = 6.9384 Å, b = 6.9384 Å, c = 8.5088 Å
α = 90.00°, β = 90.00°, γ = 120.00°
Space group P3m1 (No. 156)
Asymmetric unit:
Y (0.0016, 0.5008, 0.0000) (multiplicity 3)
Er (0.1684, 0.3369, 0.6590) (multiplicity 3)
Er (0.3359, 0.1679, 0.3336) (multiplicity 3)
Er (0.6667, 0.3333, 0.6596) (multiplicity 1)
Sc (0.3333, 0.6667, 0.3362) (multiplicity 1)

**D(E_F)**: 17.92 states/eV/cell
**Energy relative to the lowest polymorph listed for this composition**: 39 meV per atom
**Energy of formation from the pure elements**: 199 meV/atom
**Total magnetic moment**: 0.0 Bohr magnetons per cell

=====

[11]
Computed, not measured: crystalline YEr8Sc6 at its relaxed geometry at the GGA-PBE level of DFT.

a = 9.2926 Å, b = 9.2926 Å, c = 17.2668 Å
α = 90.00°, β = 90.00°, γ = 120.00°
Space group R-3 (No. 148, hexagonal axes)
Asymmetric unit:
Y (0.0000, 0.0000, 0.0000) (multiplicity 3)
Er (0.0000, 0.0000, 0.4098) (multiplicity 6)
Er (0.0521, 0.8093, 0.1751) (multiplicity 18)
Sc (0.0293, 0.7384, 0.6807) (multiplicity 18)

**D(E_F)**: 73.26 states/eV/cell
**Energy relative to the lowest polymorph listed for this composition**: 7 meV per atom
**Energy of formation from the pure elements**: 192 meV/atom
**Total magnetic moment**: 0.0 Bohr magnetons per cell

=====

[12]
Computed, not measured: crystalline Y10Er4Sc at its relaxed geometry at the GGA-PBE level of DFT.

a = 11.3955 Å, b = 11.3955 Å, c = 7.4914 Å
α = 90.00°, β = 90.00°, γ = 90.00°
Space group I4/mmm (No. 139)
Asymmetric unit:
Y (0.0000, 0.2101, 0.2220) (multiplicity 16)
Y (0.0000, 0.5000, 0.2500) (multiplicity 4)
Er (0.2360, 0.2360, 0.5000) (multiplicity 8)
Sc (0.0000, 0.0000, 0.5000) (multiplicity 2)

**D(E_F)**: 39.73 states/eV/cell
**Energy of formation from the pure elements**: 243 meV/atom
**Total magnetic moment**: 0.0 Bohr magnetons per cell

=====

[13]
Computed, not measured: crystalline Y2ErSc5 at its relaxed geometry at the GGA-PBE level of DFT.

a = 7.6335 Å, b = 7.6335 Å, c = 7.4755 Å
α = 90.00°, β = 90.00°, γ = 90.00°
Space group I4mm (No. 107)
Asymmetric unit:
Y (0.0000, 0.5000, 0.0000) (multiplicity 4)
Er (0.0000, 0.0000, 0.0006) (multiplicity 2)
Sc (0.0000, 0.0000, 0.4996) (multiplicity 2)
Sc (0.2503, 0.2503, 0.2501) (multiplicity 8)

**D(E_F)**: 33.60 states/eV/cell
**Energy relative to the lowest polymorph listed for this composition**: 53 meV per atom
**Energy of formation from the pure elements**: 117 meV/atom
**Total magnetic moment**: 0.0 Bohr magnetons per cell

=====

[14]
Computed, not measured: crystalline Y5ErSc4 at its relaxed geometry at the GGA-PBE level of DFT.

a = 17.6314 Å, b = 4.8348 Å, c = 6.9010 Å
α = 90.00°, β = 101.46°, γ = 90.00°
Space group Cm (No. 8)
Asymmetric unit:
Y (0.0000, 0.0000, 0.0000) (multiplicity 2)
Y (0.0972, 0.5000, 0.7864) (multiplicity 2)
Y (0.2021, 0.0000, 0.0998) (multiplicity 2)
Y (0.3006, 0.5000, 0.8939) (multiplicity 2)
Y (0.3974, 0.0000, 0.6813) (multiplicity 2)
Er (0.1960, 0.0000, 0.5834) (multiplicity 2)
Sc (0.0970, 0.5000, 0.2945) (multiplicity 2)
Sc (0.3012, 0.5000, 0.3893) (multiplicity 2)
Sc (0.4016, 0.0000, 0.1989) (multiplicity 2)
Sc (0.4971, 0.5000, 0.4835) (multiplicity 2)

**D(E_F)**: 31.07 states/eV/cell
**Energy relative to the lowest polymorph listed for this composition**: 0 meV per atom
**Energy of formation from the pure elements**: 60 meV/atom
**Total magnetic moment**: 0.0 Bohr magnetons per cell

=====

[15]
Computed, not measured: crystalline Y14ErSc at its relaxed geometry at the GGA-PBE level of DFT.

a = 7.1038 Å, b = 7.1038 Å, c = 10.0127 Å
α = 90.00°, β = 90.00°, γ = 90.00°
Space group P4/mmm (No. 123)
Asymmetric unit:
Y (0.0000, 0.0000, 0.0000) (multiplicity 1)
Y (0.0000, 0.5000, 0.0000) (multiplicity 2)
Y (0.0000, 0.5000, 0.5000) (multiplicity 2)
Y (0.2487, 0.2487, 0.2533) (multiplicity 8)
Y (0.5000, 0.5000, 0.0000) (multiplicity 1)
Er (0.5000, 0.5000, 0.5000) (multiplicity 1)
Sc (0.0000, 0.0000, 0.5000) (multiplicity 1)

**D(E_F)**: 22.67 states/eV/cell
**Energy of formation from the pure elements**: 31 meV/atom
**Total magnetic moment**: 0.0 Bohr magnetons per cell

=====

[16]
Computed, not measured: crystalline YErSc3 at its relaxed geometry at the GGA-PBE level of DFT.

a = 3.4468 Å, b = 5.3161 Å, c = 15.0145 Å
α = 90.04°, β = 96.55°, γ = 90.01°
Space group P1 (No. 1)
Asymmetric unit:
Y (0.0000, 0.0000, 0.0000) (multiplicity 1)
Y (0.0720, 0.5004, 0.1385) (multiplicity 1)
Er (0.3970, 0.0007, 0.7935) (multiplicity 1)
Er (0.6751, 0.5016, 0.3451) (multiplicity 1)
Sc (0.2063, 0.0018, 0.4089) (multiplicity 1)
Sc (0.2718, 0.5028, 0.5408) (multiplicity 1)
Sc (0.4644, 0.4999, 0.9264) (multiplicity 1)
Sc (0.6077, 0.0009, 0.2121) (multiplicity 1)
Sc (0.8002, 0.0027, 0.5977) (multiplicity 1)
Sc (0.8658, 0.5010, 0.7297) (multiplicity 1)

**D(E_F)**: 19.69 states/eV/cell
**Energy relative to the lowest polymorph listed for this composition**: 0 meV per atom
**Energy of formation from the pure elements**: 10 meV/atom
**Total magnetic moment**: 0.0 Bohr magnetons per cell

=====

[17]
Computed, not measured: crystalline Y2Er3Sc4 at its relaxed geometry at the GGA-PBE level of DFT.

a = 15.8567 Å, b = 11.2667 Å, c = 5.7387 Å
α = 90.00°, β = 97.35°, γ = 90.00°
Space group C2/c (No. 15)
Asymmetric unit:
Y (0.1164, 0.1126, 0.2912) (multiplicity 8)
Er (0.0000, 0.1541, 0.7500) (multiplicity 4)
Er (0.1630, 0.3849, 0.6008) (multiplicity 8)
Sc (0.0532, 0.3835, 0.0434) (multiplicity 8)
Sc (0.2313, 0.1393, 0.8459) (multiplicity 8)

**D(E_F)**: 60.02 states/eV/cell
**Energy of formation from the pure elements**: 112 meV/atom
**Total magnetic moment**: 0.0 Bohr magnetons per cell

=====

[18]
Computed, not measured: crystalline YEr3Sc4 at its relaxed geometry at the GGA-PBE level of DFT.

a = 22.1856 Å, b = 3.4030 Å, c = 5.8781 Å
α = 90.00°, β = 95.08°, γ = 90.00°
Space group C2/m (No. 12)
Asymmetric unit:
Y (0.0000, 0.0000, 0.0000) (multiplicity 2)
Er (0.0000, 0.5000, 0.5000) (multiplicity 2)
Er (0.1298, 0.5000, 0.8743) (multiplicity 4)
Sc (0.1293, 0.0000, 0.3772) (multiplicity 4)
Sc (0.2485, 0.5000, 0.2554) (multiplicity 4)

**D(E_F)**: 24.99 states/eV/cell
**Energy of formation from the pure elements**: 58 meV/atom
**Total magnetic moment**: 0.0 Bohr magnetons per cell

=====

[19]
Computed, not measured: crystalline Y2ErSc7 at its relaxed geometry at the GGA-PBE level of DFT.

a = 7.4651 Å, b = 17.2738 Å, c = 4.9539 Å
α = 90.00°, β = 90.00°, γ = 90.00°
Space group Cmmm (No. 65)
Asymmetric unit:
Y (0.0000, 0.2368, 0.0000) (multiplicity 4)
Er (0.0000, 0.5000, 0.5000) (multiplicity 2)
Sc (0.0000, 0.0000, 0.0000) (multiplicity 2)
Sc (0.0000, 0.0911, 0.5000) (multiplicity 4)
Sc (0.1959, 0.4046, 0.0000) (multiplicity 8)

**D(E_F)**: 26.77 states/eV/cell
**Energy of formation from the pure elements**: 601 meV/atom
**Total magnetic moment**: 0.0 Bohr magnetons per cell